--- 1 ---
A plane-wave DFT calculation with GGA-PBE was carried out for crystalline FeCuTe2I at its relaxed geometry.

Computed properties:
Crystal system: tetragonal

a = 4.8754 Å, b = 4.8754 Å, c = 5.7408 Å
α = 90.00°, β = 90.00°, γ = 90.00°
With the nearest neighbours (Å) after each atom.
Space group P4/mmm (No. 123)
Symmetry-distinct sites (fractional):
Fe: 0.0000 0.0000 0.0000  4 Te 2.44
Cu: 0.5000 0.5000 0.5000  4 I 3.45, 8 Te 3.77
Te: 0.0000 0.5000 0.0000  2 Fe 2.44
I: 0.0000 0.0000 0.5000  2 Fe 2.87

--- 2 ---
A plane-wave DFT calculation with GGA-PBE was carried out for crystalline FeCuTe2I at its relaxed geometry.

Computed properties:
Crystal system: tetragonal

a = 5.1739 Å, b = 5.1739 Å, c = 5.2953 Å
α = 90.00°, β = 90.00°, γ = 90.00°
With the nearest neighbours (Å) after each atom.
Space group P4/mmm (No. 123)
Symmetry-distinct sites (fractional):
Fe: 0.0000 0.0000 0.0000  4 I 3.66, 8 Te 3.70
Cu: 0.5000 0.5000 0.5000  4 Te 2.59, 2 I 2.65
Te: 0.0000 0.5000 0.5000  2 Cu 2.59
I: 0.5000 0.5000 0.0000  2 Cu 2.65

It comes down to 1, which is 13.6 kJ/mol of atoms more stable than the next structure.

--- 1 ---
A plane-wave DFT calculation with GGA-PBE was carried out for crystalline InFe2Cu2 at its relaxed geometry.

Computed properties:
Crystal system: tetragonal

a = 7.1646 Å, b = 7.1646 Å, c = 2.8044 Å
α = 90.00°, β = 90.00°, γ = 90.00°
With the nearest neighbours (Å) after each atom.
Space group P4/mbm (No. 127)
Symmetry-distinct sites (fractional):
In: 0.0000 0.0000 0.0000  2 In 2.80, 4 Fe 2.88, 8 Cu 2.99
Fe: 0.1158 0.3842 0.0000  1 Fe 2.35, 6 Cu 2.54-2.55
Cu: 0.1756 0.6756 0.5000  6 Fe 2.54-2.55, 2 Cu 2.80

--- 2 ---
A plane-wave DFT calculation with GGA-PBE was carried out for crystalline InFe2Cu2 at its relaxed geometry.

Computed properties:
Crystal system: tetragonal

a = 3.6315 Å, b = 3.6315 Å, c = 11.2688 Å
α = 90.00°, β = 90.00°, γ = 90.00°
With the nearest neighbours (Å) after each atom.
Space group I4/mmm (No. 139)
Symmetry-distinct sites (fractional):
In: 0.0000 0.0000 0.0000  8 Fe 2.80
Fe: 0.0000 0.0000 0.4008  1 Fe 2.24, 4 Cu 2.49
Cu: 0.0000 0.5000 0.2500  4 Fe 2.49, 4 Cu 2.57

It comes down to 1, which is 9.0 kJ/mol of atoms more stable than the next structure.

--- 1 ---
A plane-wave DFT calculation with GGA-PBE was carried out for crystalline InFe2Cu2 at its relaxed geometry.

Computed properties:
Crystal system: tetragonal

a = 7.0769 Å, b = 7.0769 Å, c = 2.8352 Å
α = 90.00°, β = 90.00°, γ = 90.00°
With the nearest neighbours (Å) after each atom.
Space group P4/mbm (No. 127)
Symmetry-distinct sites (fractional):
In: 0.0000 0.0000 0.0000  4 Cu 2.80, 2 In 2.84, 8 Fe 2.99
Fe: 0.1694 0.3306 0.5000  6 Cu 2.51-2.53
Cu: 0.1236 0.6236 0.0000  1 Cu 2.47, 6 Fe 2.51-2.53

--- 2 ---
A plane-wave DFT calculation with GGA-PBE was carried out for crystalline InFe2Cu2 at its relaxed geometry.

Computed properties:
Crystal system: tetragonal

a = 3.5701 Å, b = 3.5701 Å, c = 11.7762 Å
α = 90.00°, β = 90.00°, γ = 90.00°
With the nearest neighbours (Å) after each atom.
Space group I4/mmm (No. 139)
Symmetry-distinct sites (fractional):
In: 0.0000 0.0000 0.0000  8 Cu 2.80
Fe: 0.0000 0.5000 0.2500  4 Cu 2.50, 4 Fe 2.52
Cu: 0.0000 0.0000 0.3980  1 Cu 2.40, 4 Fe 2.50

It comes down to 1, which is 6.2 kJ/mol of atoms more stable than the next structure.

--- 1 ---
A plane-wave DFT calculation with GGA-PBE was carried out for crystalline InFeCu at its relaxed geometry.

Computed properties:
Crystal system: tetragonal

a = 2.9764 Å, b = 2.9764 Å, c = 10.3250 Å
α = 90.00°, β = 90.00°, γ = 90.00°
With the nearest neighbours (Å) after each atom.
Space group I4mm (No. 107)
Symmetry-distinct sites (fractional):
In: 0.0000 0.0000 0.0000  4 Cu 2.80, 4 Fe 2.83, 4 In 2.98
Fe: 0.0000 0.0000 0.3174  4 Cu 2.54, 4 In 2.83
Cu: 0.0000 0.0000 0.6791  4 Fe 2.54, 4 In 2.80

--- 2 ---
A plane-wave DFT calculation with GGA-PBE was carried out for crystalline InFeCu at its relaxed geometry.

Computed properties:
Crystal system: cubic

a = 5.9646 Å, b = 5.9646 Å, c = 5.9646 Å
α = 90.00°, β = 90.00°, γ = 90.00°
With the nearest neighbours (Å) after each atom.
Space group F-43m (No. 216)
Symmetry-distinct sites (fractional):
In: 0.0000 0.0000 0.0000  4 Cu 2.58
Fe: 0.0000 0.0000 0.5000  4 Cu 2.58
Cu: 0.2500 0.2500 0.7500  4 In 2.58, 4 Fe 2.58

It comes down to 1, which is 16.9 kJ/mol of atoms more stable than the next structure.

--- 1 ---
A plane-wave DFT calculation with GGA-PBE was carried out for crystalline InFeCu at its relaxed geometry.

Computed properties:
Crystal system: trigonal

a = 4.3262 Å, b = 4.3262 Å, c = 2.8351 Å
α = 90.00°, β = 90.00°, γ = 120.00°
With the nearest neighbours (Å) after each atom.
Space group P3m1 (No. 156)
Symmetry-distinct sites (fractional):
In: 0.0000 0.0000 0.0000  3 Cu 2.64, 3 Fe 2.77, 2 In 2.84
Fe: 0.6667 0.3333 0.5789  3 Cu 2.62, 3 In 2.77, 2 Fe 2.84
Cu: 0.3333 0.6667 0.2988  3 Fe 2.62, 3 In 2.64, 2 Cu 2.84

--- 2 ---
A plane-wave DFT calculation with GGA-PBE was carried out for crystalline InFeCu at its relaxed geometry.

Computed properties:
Crystal system: monoclinic

a = 12.7568 Å, b = 3.5056 Å, c = 4.0847 Å
α = 90.00°, β = 90.33°, γ = 90.00°
With the nearest neighbours (Å) after each atom.
Space group C2/m (No. 12)
Symmetry-distinct sites (fractional):
In: 0.0899 0.0000 0.2496  6 Cu 2.69-2.97, 4 Fe 2.71-2.88
Fe: 0.2480 0.0000 0.7505  4 Cu 2.59-2.84, 4 Fe 2.69-2.70, 4 In 2.71-2.88
Cu: 0.0985 0.5000 0.7493  4 Fe 2.59-2.84, 4 In 2.69

It comes down to 2, which is 13.1 kJ/mol of atoms more stable than the next structure.

--- 1 ---
A plane-wave DFT calculation with GGA-PBE was carried out for crystalline FeCuIr2 at its relaxed geometry.

Computed properties:
Crystal system: monoclinic

a = 8.8936 Å, b = 2.7088 Å, c = 4.5308 Å
α = 90.00°, β = 100.04°, γ = 90.00°
With the nearest neighbours (Å) after each atom.
Space group Cm (No. 8)
Symmetry-distinct sites (fractional):
Fe: 0.0000 0.0000 0.0000  3 Cu 2.60-2.68, 7 Ir 2.64-2.71, 2 Fe 2.71
Cu: 0.2473 0.0000 0.7664  3 Fe 2.60-2.68, 7 Ir 2.63-2.73, 2 Cu 2.71
Ir: 0.2489 0.5000 0.2633  4 Cu 2.63-2.65, 5 Ir 2.63-2.71, 3 Fe 2.69-2.71
Ir: 0.4941 0.0000 0.4970  5 Ir 2.63-2.71, 4 Fe 2.64, 3 Cu 2.69-2.73

--- 2 ---
A plane-wave DFT calculation with GGA-PBE was carried out for crystalline FeCuIr2 at its relaxed geometry.

Computed properties:
Crystal system: monoclinic

a = 5.3690 Å, b = 8.7459 Å, c = 2.6761 Å
α = 90.00°, β = 118.48°, γ = 90.00°
With the nearest neighbours (Å) after each atom.
Space group C2/m (No. 12)
Symmetry-distinct sites (fractional):
Fe: 0.0000 0.0000 0.0000  4 Ir 2.58, 2 Fe 2.68, 4 Cu 2.68-2.74
Cu: 0.0000 0.5000 0.0000  4 Ir 2.58, 2 Cu 2.68, 4 Fe 2.68-2.74
Ir: 0.2500 0.2500 0.5000  2 Cu 2.58, 2 Fe 2.58, 6 Ir 2.68-2.74

It comes down to 1, which is 8.1 kJ/mol of atoms more stable than the next structure.

--- 1 ---
A plane-wave DFT calculation with GGA-PBE was carried out for crystalline FeCuIr at its relaxed geometry.

Computed properties:
Crystal system: orthorhombic

a = 2.6714 Å, b = 3.6909 Å, c = 7.8918 Å
α = 90.00°, β = 90.00°, γ = 90.00°
With the nearest neighbours (Å) after each atom.
Space group Imm2 (No. 44)
Symmetry-distinct sites (fractional):
Fe: 0.0000 0.0000 0.0000  5 Ir 2.62-2.66, 5 Cu 2.62-2.63, 2 Fe 2.67
Cu: 0.0000 0.0000 0.6678  5 Ir 2.61-2.64, 5 Fe 2.62-2.63, 2 Cu 2.67
Ir: 0.0000 0.0000 0.3370  5 Cu 2.61-2.64, 5 Fe 2.62-2.66, 2 Ir 2.67

--- 2 ---
A plane-wave DFT calculation with GGA-PBE was carried out for crystalline FeCuIr at its relaxed geometry.

Computed properties:
Crystal system: cubic

a = 5.5325 Å, b = 5.5325 Å, c = 5.5325 Å
α = 90.00°, β = 90.00°, γ = 90.00°
With the nearest neighbours (Å) after each atom.
Space group F-43m (No. 216)
Symmetry-distinct sites (fractional):
Fe: 0.0000 0.0000 0.0000  4 Ir 2.40, 4 Cu 2.40
Cu: 0.2500 0.2500 0.7500  4 Fe 2.40
Ir: 0.2500 0.2500 0.2500  4 Fe 2.40

--- 3 ---
A plane-wave DFT calculation with GGA-PBE was carried out for crystalline FeCuIr at its relaxed geometry.

Computed properties:
Crystal system: tetragonal

a = 2.6886 Å, b = 2.6886 Å, c = 10.7321 Å
α = 90.00°, β = 90.00°, γ = 90.00°
With the nearest neighbours (Å) after each atom.
Space group I4mm (No. 107)
Symmetry-distinct sites (fractional):
Fe: 0.0000 0.0000 0.0000  4 Ir 2.57, 4 Cu 2.58, 4 Fe 2.69
Cu: 0.0000 0.0000 0.3374  4 Fe 2.58, 4 Ir 2.68, 4 Cu 2.69
Ir: 0.0000 0.0000 0.6616  4 Fe 2.57, 4 Cu 2.68, 4 Ir 2.69

It comes down to 1, which is 4.7 kJ/mol of atoms more stable than the next structure.

--- 1 ---
A plane-wave DFT calculation with GGA-PBE was carried out for crystalline FeCuIr at its relaxed geometry.

Computed properties:
Crystal system: trigonal

a = 4.1820 Å, b = 4.1820 Å, c = 2.6131 Å
α = 90.00°, β = 90.00°, γ = 120.00°
With the nearest neighbours (Å) after each atom.
Space group P3m1 (No. 156)
Symmetry-distinct sites (fractional):
Fe: 0.0000 0.0000 0.0000  3 Cu 2.51, 3 Ir 2.55, 2 Fe 2.61
Cu: 0.3333 0.6667 0.7444  3 Fe 2.51, 2 Cu 2.61, 3 Ir 2.66
Ir: 0.6667 0.3333 0.3197  3 Fe 2.55, 2 Ir 2.61, 6 Cu 2.66-2.84

--- 2 ---
A plane-wave DFT calculation with GGA-PBE was carried out for crystalline FeCuIr at its relaxed geometry.

Computed properties:
Crystal system: orthorhombic

a = 2.7756 Å, b = 4.4539 Å, c = 12.9868 Å
α = 90.00°, β = 90.00°, γ = 90.00°
With the nearest neighbours (Å) after each atom.
Space group Fmm2 (No. 42)
Symmetry-distinct sites (fractional):
Fe: 0.0000 0.0000 0.0000  2 Cu 2.51, 2 Ir 2.56, 6 Fe 2.62-2.78
Cu: 0.0000 0.0000 0.6611  2 Fe 2.51, 6 Cu 2.62-2.78, 2 Ir 2.65
Ir: 0.0000 0.0000 0.3348  2 Fe 2.56, 6 Ir 2.62-2.78, 2 Cu 2.65

It comes down to 1, which is 5.3 kJ/mol of atoms more stable than the next structure.

--- 1 ---
A plane-wave DFT calculation with GGA-PBE was carried out for crystalline FeCuIr at its relaxed geometry.

Computed properties:
Crystal system: orthorhombic

a = 3.6197 Å, b = 11.3907 Å, c = 3.7723 Å
α = 90.00°, β = 90.00°, γ = 90.00°
With the nearest neighbours (Å) after each atom.
Space group Cmcm (No. 63)
Symmetry-distinct sites (fractional):
Fe: 0.0000 0.0880 0.2500  4 Cu 2.59-2.63, 6 Ir 2.61-2.65, 2 Fe 2.75
Cu: 0.0000 0.2494 0.7500  4 Fe 2.59-2.63, 4 Cu 2.61, 4 Ir 2.63-2.69
Ir: 0.0000 0.4182 0.2500  6 Fe 2.61-2.65, 4 Cu 2.63-2.69, 2 Ir 2.65

--- 2 ---
A plane-wave DFT calculation with GGA-PBE was carried out for crystalline FeCuIr at its relaxed geometry.

Computed properties:
Crystal system: trigonal

a = 2.6712 Å, b = 2.6712 Å, c = 6.3623 Å
α = 90.00°, β = 90.00°, γ = 120.00°
With the nearest neighbours (Å) after each atom.
Space group P3m1 (No. 156)
Symmetry-distinct sites (fractional):
Fe: 0.0000 0.0000 0.0000  3 Cu 2.58, 3 Ir 2.59, 6 Fe 2.67
Cu: 0.3333 0.6667 0.6754  3 Fe 2.58, 6 Cu 2.67, 3 Ir 2.70
Ir: 0.6667 0.3333 0.3263  3 Fe 2.59, 6 Ir 2.67, 3 Cu 2.70

It comes down to 2, which is 2.3 kJ/mol of atoms more stable than the next structure.

--- 1 ---
A plane-wave DFT calculation with GGA-PBE was carried out for crystalline FeCuIr4 at its relaxed geometry.

Computed properties:
Crystal system: tetragonal

a = 2.7167 Å, b = 2.7167 Å, c = 11.2162 Å
α = 90.00°, β = 90.00°, γ = 90.00°
With the nearest neighbours (Å) after each atom.
Space group P4/mmm (No. 123)
Symmetry-distinct sites (fractional):
Fe: 0.0000 0.0000 0.0000  8 Ir 2.66, 4 Fe 2.72
Cu: 0.5000 0.5000 0.5000  8 Ir 2.69, 4 Cu 2.72
Ir: 0.0000 0.0000 0.3327  4 Cu 2.69, 8 Ir 2.69-2.72
Ir: 0.5000 0.5000 0.1643  4 Fe 2.66, 8 Ir 2.69-2.72

--- 2 ---
A plane-wave DFT calculation with GGA-PBE was carried out for crystalline FeCuIr4 at its relaxed geometry.

Computed properties:
Crystal system: cubic

a = 7.2544 Å, b = 7.2544 Å, c = 7.2544 Å
α = 90.00°, β = 90.00°, γ = 90.00°
With the nearest neighbours (Å) after each atom.
Space group F-43m (No. 216)
Symmetry-distinct sites (fractional):
Fe: 0.0000 0.0000 0.0000  12 Ir 3.01, 4 Cu 3.14
Cu: 0.2500 0.2500 0.2500  12 Ir 3.01, 4 Fe 3.14
Ir: 0.1250 0.1250 0.6250  6 Ir 2.56-2.57

It comes down to 1, which is 46.0 kJ/mol of atoms more stable than the next structure.

--- 1 ---
A plane-wave DFT calculation with GGA-PBE was carried out for crystalline Fe2CuIr2 at its relaxed geometry.

Computed properties:
Crystal system: tetragonal

a = 7.1482 Å, b = 7.1482 Å, c = 2.6630 Å
α = 90.00°, β = 90.00°, γ = 90.00°
With the nearest neighbours (Å) after each atom.
Space group P4/mbm (No. 127)
Symmetry-distinct sites (fractional):
Fe: 0.1185 0.3815 0.0000  3 Fe 2.40-2.66, 6 Ir 2.48-2.51
Cu: 0.0000 0.0000 0.0000  2 Cu 2.66, 4 Fe 2.86, 8 Ir 2.96
Ir: 0.1745 0.6745 0.5000  6 Fe 2.48-2.51, 2 Ir 2.66

--- 2 ---
A plane-wave DFT calculation with GGA-PBE was carried out for crystalline Fe2CuIr2 at its relaxed geometry.

Computed properties:
Crystal system: tetragonal

a = 7.1502 Å, b = 7.1502 Å, c = 2.6348 Å
α = 90.00°, β = 90.00°, γ = 90.00°
With the nearest neighbours (Å) after each atom.
Space group P4/mbm (No. 127)
Symmetry-distinct sites (fractional):
Fe: 0.1670 0.3330 0.0000  6 Ir 2.43-2.52, 2 Fe 2.63
Cu: 0.0000 0.0000 0.5000  2 Cu 2.63, 4 Ir 2.80
Ir: 0.1306 0.6306 0.5000  6 Fe 2.43-2.52, 3 Ir 2.63-2.64

It comes down to 1, which is 6.7 kJ/mol of atoms more stable than the next structure.

--- 1 ---
A plane-wave DFT calculation with GGA-PBE was carried out for crystalline KFeCu3 at its relaxed geometry.

Computed properties:
Crystal system: cubic

a = 4.7033 Å, b = 4.7033 Å, c = 4.7033 Å
α = 90.00°, β = 90.00°, γ = 90.00°
With the nearest neighbours (Å) after each atom.
Space group Pm-3m (No. 221)
Symmetry-distinct sites (fractional):
K: 0.0000 0.0000 0.0000  12 Cu 3.33
Fe: 0.5000 0.5000 0.5000  6 Cu 2.35
Cu: 0.0000 0.5000 0.5000  2 Fe 2.35

--- 2 ---
A plane-wave DFT calculation with GGA-PBE was carried out for crystalline KFeCu3 at its relaxed geometry.

Computed properties:
Crystal system: cubic

a = 4.8425 Å, b = 4.8425 Å, c = 4.8425 Å
α = 90.00°, β = 90.00°, γ = 90.00°
With the nearest neighbours (Å) after each atom.
Space group Pm-3m (No. 221)
Symmetry-distinct sites (fractional):
K: 0.0000 0.0000 0.0000  6 Cu 2.42
Fe: 0.5000 0.5000 0.5000  12 Cu 3.42
Cu: 0.0000 0.0000 0.5000  2 K 2.42

It comes down to 1, which is 126.5 kJ/mol of atoms more stable than the next structure.

--- 1 ---
A plane-wave DFT calculation with GGA-PBE was carried out for crystalline KZrFe2Cu at its relaxed geometry.

Computed properties:
Crystal system: tetragonal

a = 4.2065 Å, b = 4.2065 Å, c = 4.7123 Å
α = 90.00°, β = 90.00°, γ = 90.00°
With the nearest neighbours (Å) after each atom.
Space group P4/mmm (No. 123)
Symmetry-distinct sites (fractional):
K: 0.0000 0.0000 0.0000  4 Fe 2.10
Zr: 0.0000 0.0000 0.5000  2 K 2.36
Fe: 0.0000 0.5000 0.0000  2 K 2.10
Cu: 0.5000 0.5000 0.5000  4 Zr 2.97, 8 Fe 3.16

--- 2 ---
A plane-wave DFT calculation with GGA-PBE was carried out for crystalline KZrFe2Cu at its relaxed geometry.

Computed properties:
Crystal system: tetragonal

a = 4.6779 Å, b = 4.6779 Å, c = 6.0611 Å
α = 90.00°, β = 90.00°, γ = 90.00°
With the nearest neighbours (Å) after each atom.
Space group P4/mmm (No. 123)
Symmetry-distinct sites (fractional):
K: 0.0000 0.0000 0.0000  2 Zr 3.03, 4 Cu 3.31
Zr: 0.0000 0.0000 0.5000  4 Fe 2.34
Fe: 0.0000 0.5000 0.5000  2 Zr 2.34
Cu: 0.5000 0.5000 0.0000  4 K 3.31

It comes down to 2, which is 79.9 kJ/mol of atoms more stable than the next structure.